Entry from Alexandria via LeMat-Bulk: a relaxed Dy2Y4H crystal (PBE).

Structure (CIF):
```
data_Dy2Y4H
_chemical_formula_sum 'Dy4 Y8 H2'
_symmetry_space_group_name_H-M 'I 4/m m m'
_symmetry_Int_Tables_number 139
_symmetry_space_group_name_Hall '-I 4 2'
_cell_length_a 4.8335
_cell_length_b 4.8335
_cell_length_c 17.2050
_cell_angle_alpha 90.00
_cell_angle_beta 90.00
_cell_angle_gamma 90.00
loop_
_atom_site_label
_atom_site_fract_x
_atom_site_fract_y
_atom_site_fract_z
_atom_site_occupancy
Dy1 0.0000 0.0000 0.1470 1
Y1 0.0000 0.0000 0.3487 1
Y2 0.0000 0.5000 0.0000 1
H1 0.0000 0.0000 0.5000 1
```

# Na2PbI | Alexandria via LeMat-Bulk | PBE | optimized geometry
data_Na2PbI
_chemical_formula_sum 'Na8 Pb4 I4'
_symmetry_space_group_name_H-M 'I -4 2 d'
_symmetry_Int_Tables_number 122
_symmetry_space_group_name_Hall 'I -4 2bw'
_cell_length_a 8.6766
_cell_length_b 8.6766
_cell_length_c 7.2529
_cell_angle_alpha 90.00
_cell_angle_beta 90.00
_cell_angle_gamma 90.00
loop_
_atom_site_label
_atom_site_fract_x
_atom_site_fract_y
_atom_site_fract_z
_atom_site_occupancy
Na1 0.2342 0.7500 0.1250 1
Pb1 0.0000 0.0000 0.5000 1
I1 0.0000 0.0000 0.0000 1
# energy relative to the elements, uncorrected = -1.4 eV per formula unit

Entry from Alexandria via LeMat-Bulk: a relaxed Na3LiC crystal (PBE).

Structure (CIF):
```
data_Na3LiC
_chemical_formula_sum 'Na3 Li1 C1'
_symmetry_space_group_name_H-M 'P m -3 m'
_symmetry_Int_Tables_number 221
_symmetry_space_group_name_Hall '-P 4 2 3'
_cell_length_a 4.9915
_cell_length_b 4.9915
_cell_length_c 4.9915
_cell_angle_alpha 90.00
_cell_angle_beta 90.00
_cell_angle_gamma 90.00
loop_
_atom_site_label
_atom_site_fract_x
_atom_site_fract_y
_atom_site_fract_z
_atom_site_occupancy
Na1 0.0000 0.0000 0.5000 1
Li1 0.5000 0.5000 0.5000 1
C1 0.0000 0.0000 0.0000 1
```

Entry from Alexandria via LeMat-Bulk: a relaxed LiGdBiPb crystal (PBE).

Structure (CIF):
```
data_LiGdBiPb
_chemical_formula_sum 'Li4 Gd4 Bi4 Pb4'
_symmetry_space_group_name_H-M 'F -4 3 m'
_symmetry_Int_Tables_number 216
_symmetry_space_group_name_Hall 'F -4 2 3'
_cell_length_a 7.6015
_cell_length_b 7.6015
_cell_length_c 7.6015
_cell_angle_alpha 90.00
_cell_angle_beta 90.00
_cell_angle_gamma 90.00
loop_
_atom_site_label
_atom_site_fract_x
_atom_site_fract_y
_atom_site_fract_z
_atom_site_occupancy
Li1 0.0000 0.0000 0.0000 1
Gd1 0.0000 0.0000 0.5000 1
Bi1 0.2500 0.2500 0.2500 1
Pb1 0.2500 0.2500 0.7500 1
```

# La4P2Br | Alexandria via LeMat-Bulk | PBE | optimized geometry
data_La4P2Br
_chemical_formula_sum 'La12 P6 Br3'
_symmetry_space_group_name_H-M 'R -3 m'
_symmetry_Int_Tables_number 166
_symmetry_space_group_name_Hall '-R 3 2"'
_cell_length_a 4.1878
_cell_length_b 4.1878
_cell_length_c 43.4905
_cell_angle_alpha 90.00
_cell_angle_beta 90.00
_cell_angle_gamma 120.00
loop_
_atom_site_label
_atom_site_fract_x
_atom_site_fract_y
_atom_site_fract_z
_atom_site_occupancy
La1 0.0000 0.0000 0.1237 1
La2 0.0000 0.0000 0.2828 1
P1 0.0000 0.0000 0.4197 1
Br1 0.0000 0.0000 0.0000 1
# energy relative to the elements, uncorrected = -9.3 eV per formula unit

Entry from Alexandria via LeMat-Bulk: a relaxed MnVZn crystal (PBE).

Structure (CIF):
```
data_MnVZn
_chemical_formula_sum 'Mn4 V4 Zn4'
_symmetry_space_group_name_H-M 'I 4/m m m'
_symmetry_Int_Tables_number 139
_symmetry_space_group_name_Hall '-I 4 2'
_cell_length_a 2.8537
_cell_length_b 2.8537
_cell_length_c 20.7512
_cell_angle_alpha 90.00
_cell_angle_beta 90.00
_cell_angle_gamma 90.00
loop_
_atom_site_label
_atom_site_fract_x
_atom_site_fract_y
_atom_site_fract_z
_atom_site_occupancy
Mn1 0.0000 0.0000 0.2130 1
V1 0.0000 0.0000 0.3504 1
Zn1 0.0000 0.0000 0.0627 1
```

| no. | total DFT energy (no corrections) (eV per cell) |
| --- | --- |
| 1 | -75.815 |
| 2 | -37.213 |
| 3 | -11.028 |
| 4 | -100.609 |
| 5 | -124.565 |
| 6 | -76.600 |